# 1
The following is a DFT calculation (PBE) of a relaxed NdScAg crystal.

Cell lengths 4.6827, 4.6827, 7.2456 Å; angles 90.00, 90.00, 90.00 degrees
Closest atoms and distances in Å follow each position.
Element x y z (fractional)
1 Nd 0.2500 0.2500 0.1297  1 Ag 2.94
2 Nd 0.7500 0.7500 0.8703  1 Ag 2.94
3 Sc 0.2500 0.7500 0.5000  4 Ag 2.85
4 Sc 0.7500 0.2500 0.5000  4 Ag 2.85
5 Ag 0.2500 0.2500 0.7239  4 Sc 2.85, 1 Nd 2.94
6 Ag 0.7500 0.7500 0.2761  4 Sc 2.85, 1 Nd 2.94

Calculated values
ΔE to the lowest computed polymorph, meV per atom: 0

# 2
The following is a DFT calculation (PBE) of a relaxed Nd4ScAg5 crystal.

Cell lengths 3.6435, 3.6435, 18.9557 Å; angles 90.00, 90.00, 90.00 degrees
Closest atoms and distances in Å follow each position.
Element x y z (fractional)
1 Nd 0.0000 0.0000 0.1032  8 Ag 3.23-3.24
2 Nd 0.0000 0.0000 0.3102  8 Ag 3.24-3.29, 1 Sc 3.60
3 Nd 0.0000 0.0000 0.6898  8 Ag 3.24-3.29, 1 Sc 3.60
4 Nd 0.0000 0.0000 0.8968  8 Ag 3.23-3.24
5 Sc 0.0000 0.0000 0.5000  8 Ag 3.00
6 Ag 0.5000 0.5000 0.0000  8 Nd 3.23
7 Ag 0.5000 0.5000 0.2064  8 Nd 3.24
8 Ag 0.5000 0.5000 0.4184  4 Sc 3.00, 1 Ag 3.09, 4 Nd 3.29
9 Ag 0.5000 0.5000 0.5816  4 Sc 3.00, 1 Ag 3.09, 4 Nd 3.29
10 Ag 0.5000 0.5000 0.7936  8 Nd 3.24

# 3
The following is a DFT calculation (PBE) of a relaxed NdScAg6 crystal.

Cell lengths 5.1205, 5.1205, 8.9784 Å; angles 115.21, 115.21, 52.15 degrees
Closest atoms and distances in Å follow each position.
Element x y z (fractional)
1 Nd 0.0000 0.0000 0.0000  12 Ag 3.07-3.25
2 Sc 0.0000 0.0000 0.5000  12 Ag 2.88-3.11
3 Ag 0.2438 0.2438 0.8513  1 Sc 2.88, 5 Ag 2.95-3.12, 3 Nd 3.07-3.11
4 Ag 0.2539 0.2539 0.3885  8 Ag 2.92-3.12, 3 Sc 2.95-3.01, 1 Nd 3.15
5 Ag 0.4919 0.4919 0.2569  8 Ag 2.92-3.25, 2 Sc 3.11, 2 Nd 3.25
6 Ag 0.5081 0.5081 0.7431  8 Ag 2.92-3.25, 2 Sc 3.11, 2 Nd 3.25
7 Ag 0.7461 0.7461 0.6115  8 Ag 2.92-3.12, 3 Sc 2.95-3.01, 1 Nd 3.15
8 Ag 0.7562 0.7562 0.1487  1 Sc 2.88, 5 Ag 2.95-3.12, 3 Nd 3.07-3.11

# 4
The following is a DFT calculation (PBE) of a relaxed Nd4ScAg3 crystal.

Cell lengths 3.6895, 5.4093, 10.9060 Å; angles 90.00, 90.00, 90.00 degrees
Closest atoms and distances in Å follow each position.
Element x y z (fractional)
1 Nd 0.0000 0.0000 0.0000  8 Ag 3.27-3.38
2 Nd 0.0000 0.0000 0.5000  4 Ag 3.20, 4 Sc 3.27
3 Nd 0.0000 0.5000 0.2405  6 Ag 3.21-3.28, 2 Sc 3.38
4 Nd 0.0000 0.5000 0.7595  6 Ag 3.21-3.28, 2 Sc 3.38
5 Sc 0.5000 0.5000 0.5000  8 Nd 3.27-3.38
6 Ag 0.5000 0.0000 0.2599  8 Nd 3.20-3.38
7 Ag 0.5000 0.0000 0.7401  8 Nd 3.20-3.38
8 Ag 0.5000 0.5000 0.0000  8 Nd 3.21-3.27

So what do the calculations give for formation enthalpy at 0 K? Going down the list: -153; -249; -165; -153 meV/atom.
So what do the calculations give for E? Going down the list: -28.8; -42.1; -29.5; -35.2 eV/cell.